[1]
This record from Alexandria via LeMat-Bulk describes crystalline Hf2InGa2 at its relaxed geometry. The functional is PBEsol.

```
data_Hf2InGa2
_cell_length_a 6.8485
_cell_length_b 6.8485
_cell_length_c 3.9168
_cell_angle_alpha 90.00
_cell_angle_beta 90.00
_cell_angle_gamma 90.00
_symmetry_space_group_name_H-M 'P 4/m b m'
_symmetry_Int_Tables_number 127
_symmetry_space_group_name_Hall '-P 4 2ab'
loop_
_atom_site_label
_atom_site_fract_x
_atom_site_fract_y
_atom_site_fract_z
Hf1 0.1754 0.3246 0.0000
In1 0.0000 0.0000 0.5000
Ga1 0.1244 0.6244 0.5000
```

Summary:
Size of the total moment, μB per atom: 0.00
Energy of formation from the pure elements, eV per atom: -0.396
Uncorrected energy, eV per cell: -65.30
N(E_F), states/eV/cell: 3.25

[2]
This record from Alexandria via LeMat-Bulk describes crystalline YGa2AsI at its relaxed geometry. The functional is PBEsol.

```
data_YGa2AsI
_cell_length_a 5.6467
_cell_length_b 5.6467
_cell_length_c 5.5843
_cell_angle_alpha 90.00
_cell_angle_beta 90.00
_cell_angle_gamma 90.00
_symmetry_space_group_name_H-M 'P 4/m m m'
_symmetry_Int_Tables_number 123
_symmetry_space_group_name_Hall '-P 4 2'
loop_
_atom_site_label
_atom_site_fract_x
_atom_site_fract_y
_atom_site_fract_z
Y1 0.0000 0.0000 0.0000
Ga1 0.0000 0.5000 0.0000
As1 0.5000 0.5000 0.5000
I1 0.0000 0.0000 0.5000
```

Summary:
Size of the total moment, μB per atom: 0.19
Uncorrected energy, eV per cell: -17.02
Uncorrected formation energy, eV per formula unit: 3.4
N(E_F), states/eV/cell: 4.23

[3]
This record from Alexandria via LeMat-Bulk describes crystalline Ca2Tl2Ag at its relaxed geometry. The functional is PBEsol.

```
data_Ca2Tl2Ag
_cell_length_a 6.0945
_cell_length_b 6.0945
_cell_length_c 8.2626
_cell_angle_alpha 90.00
_cell_angle_beta 90.00
_cell_angle_gamma 90.00
_symmetry_space_group_name_H-M 'I 4/m m m'
_symmetry_Int_Tables_number 139
_symmetry_space_group_name_Hall '-I 4 2'
loop_
_atom_site_label
_atom_site_fract_x
_atom_site_fract_y
_atom_site_fract_z
Ca1 0.0000 0.5000 0.2500
Tl1 0.0000 0.0000 0.1671
Ag1 0.0000 0.0000 0.5000
```

Summary:
Size of the total moment, μB per atom: 0.00
Energy of formation from the pure elements, eV per atom: -0.004
ΔE to the lowest computed polymorph, eV/f.u.: 0.00
Uncorrected energy, eV per cell: -25.71
N(E_F), states/eV/cell: 6.99

[4]
This record from Alexandria via LeMat-Bulk describes crystalline CaMg2Mn at its relaxed geometry. The functional is PBEsol.

```
data_CaMg2Mn
_cell_length_a 3.4328
_cell_length_b 3.4800
_cell_length_c 7.7769
_cell_angle_alpha 90.00
_cell_angle_beta 90.00
_cell_angle_gamma 90.00
_symmetry_space_group_name_H-M 'P m m 2'
_symmetry_Int_Tables_number 25
_symmetry_space_group_name_Hall 'P 2 -2'
loop_
_atom_site_label
_atom_site_fract_x
_atom_site_fract_y
_atom_site_fract_z
Ca1 0.0000 0.0000 0.0000
Mg1 0.0000 0.0000 0.5638
Mg2 0.5000 0.5000 0.3207
Mn1 0.5000 0.5000 0.7397
```

Summary:
Size of the total moment, μB per atom: 0.92
Energy of formation from the pure elements, eV per atom: 0.294
Uncorrected energy, eV per cell: -14.15
N(E_F), states/eV/cell: 3.76

[5]
This record from Alexandria via LeMat-Bulk describes crystalline Cd3AuC at its relaxed geometry. The functional is PBEsol.

```
data_Cd3AuC
_cell_length_a 5.1792
_cell_length_b 5.1792
_cell_length_c 5.1792
_cell_angle_alpha 90.00
_cell_angle_beta 90.00
_cell_angle_gamma 90.00
_symmetry_space_group_name_H-M 'P m -3 m'
_symmetry_Int_Tables_number 221
_symmetry_space_group_name_Hall '-P 4 2 3'
loop_
_atom_site_label
_atom_site_fract_x
_atom_site_fract_y
_atom_site_fract_z
Cd1 0.0000 0.0000 0.5000
Au1 0.0000 0.0000 0.0000
C1 0.5000 0.5000 0.5000
```

Summary:
Size of the total moment, μB per atom: 0.44
Energy of formation from the pure elements, eV per atom: 1.520
ΔE to the lowest computed polymorph, eV/f.u.: 4.38
Uncorrected energy, eV per cell: -9.56
N(E_F), states/eV/cell: 2.63

[6]
This record from Alexandria via LeMat-Bulk describes crystalline K2MoAs at its relaxed geometry. The functional is PBEsol.

```
data_K2MoAs
_cell_length_a 3.9487
_cell_length_b 3.9733
_cell_length_c 11.3515
_cell_angle_alpha 90.00
_cell_angle_beta 90.00
_cell_angle_gamma 90.00
_symmetry_space_group_name_H-M 'C m m m'
_symmetry_Int_Tables_number 65
_symmetry_space_group_name_Hall '-C 2 2'
loop_
_atom_site_label
_atom_site_fract_x
_atom_site_fract_y
_atom_site_fract_z
K1 0.0000 0.0000 0.2299
Mo1 0.0000 0.5000 0.5000
As1 0.0000 0.5000 0.0000
```

Summary:
Size of the total moment, μB per atom: 0.01
Energy of formation from the pure elements, eV per atom: 0.809
Uncorrected energy, eV per cell: -31.81
N(E_F), states/eV/cell: 7.24

[7]
This record from Alexandria via LeMat-Bulk describes crystalline Ag2OsSe at its relaxed geometry. The functional is PBEsol.

```
data_Ag2OsSe
_cell_length_a 2.8795
_cell_length_b 4.8634
_cell_length_c 9.6144
_cell_angle_alpha 90.00
_cell_angle_beta 90.00
_cell_angle_gamma 90.00
_symmetry_space_group_name_H-M 'C m m 2'
_symmetry_Int_Tables_number 35
_symmetry_space_group_name_Hall 'C 2 -2'
loop_
_atom_site_label
_atom_site_fract_x
_atom_site_fract_y
_atom_site_fract_z
Ag1 0.0000 0.0000 0.0000
Ag2 0.0000 0.5000 0.2474
Os1 0.0000 0.5000 0.7514
Se1 0.0000 0.0000 0.5427
```

Summary:
Size of the total moment, μB per atom: 0.00
Uncorrected energy, eV per cell: -41.39
Uncorrected formation energy, eV per formula unit: 2.0
N(E_F), states/eV/cell: 5.74

[8]
This record from Alexandria via LeMat-Bulk describes crystalline LiVB2O5 at its relaxed geometry. The functional is PBEsol.

```
data_LiVB2O5
_cell_length_a 10.3369
_cell_length_b 9.7520
_cell_length_c 9.1271
_cell_angle_alpha 90.00
_cell_angle_beta 115.78
_cell_angle_gamma 90.00
_symmetry_space_group_name_H-M 'C 1 2/c 1'
_symmetry_Int_Tables_number 15
_symmetry_space_group_name_Hall '-C 2yc'
loop_
_atom_site_label
_atom_site_fract_x
_atom_site_fract_y
_atom_site_fract_z
Li1 0.0000 0.0832 0.2500
Li2 0.0000 0.3542 0.7500
V1 0.2237 0.3056 0.1506
B1 0.0567 0.1630 0.5158
B2 0.2450 0.4924 0.8963
O1 0.0641 0.1964 0.1200
O2 0.0959 0.2184 0.6658
O3 0.1383 0.0618 0.4827
O4 0.1757 0.4651 0.2419
O5 0.2039 0.3706 0.9449
```

Summary:
Size of the total moment, μB per atom: 0.22
ΔE to the lowest computed polymorph, eV/f.u.: 0.35
Uncorrected energy, eV per cell: -578.51
Uncorrected formation energy, eV per formula unit: -20.4

[9]
This record from Alexandria via LeMat-Bulk describes crystalline CoTcPt2 at its relaxed geometry. The functional is PBEsol.

```
data_CoTcPt2
_cell_length_a 2.6834
_cell_length_b 2.6834
_cell_length_c 7.4958
_cell_angle_alpha 90.00
_cell_angle_beta 90.00
_cell_angle_gamma 90.00
_symmetry_space_group_name_H-M 'P 4 m m'
_symmetry_Int_Tables_number 99
_symmetry_space_group_name_Hall 'P 4 -2'
loop_
_atom_site_label
_atom_site_fract_x
_atom_site_fract_y
_atom_site_fract_z
Co1 0.0000 0.0000 0.0000
Tc1 0.5000 0.5000 0.7820
Pt1 0.0000 0.0000 0.5222
Pt2 0.5000 0.5000 0.2413
```

Summary:
Size of the total moment, μB per atom: 0.26
Energy of formation from the pure elements, eV per atom: -0.096
ΔE to the lowest computed polymorph, eV/f.u.: 0.04
Uncorrected energy, eV per cell: -33.32
N(E_F), states/eV/cell: 3.75

[10]
This record from Alexandria via LeMat-Bulk describes crystalline Cr3C at its relaxed geometry. The functional is PBEsol.

```
data_Cr3C
_cell_length_a 5.1398
_cell_length_b 6.5767
_cell_length_c 4.4576
_cell_angle_alpha 90.00
_cell_angle_beta 90.00
_cell_angle_gamma 90.00
_symmetry_space_group_name_H-M 'P n m a'
_symmetry_Int_Tables_number 62
_symmetry_space_group_name_Hall '-P 2ac 2n'
loop_
_atom_site_label
_atom_site_fract_x
_atom_site_fract_y
_atom_site_fract_z
Cr1 0.0286 0.2500 0.1556
Cr2 0.1769 0.0591 0.6574
C1 0.1260 0.7500 0.4318
```

Summary:
Size of the total moment, μB per atom: 0.00
Energy of formation from the pure elements, eV per atom: -0.151
ΔE to the lowest computed polymorph, eV/f.u.: 0.00
Uncorrected energy, eV per cell: -163.90
N(E_F), states/eV/cell: 12.32

[11]
This record from Alexandria via LeMat-Bulk describes crystalline K2LiLaCl6 at its relaxed geometry. The functional is PBEsol.

```
data_K2LiLaCl6
_cell_length_a 10.4431
_cell_length_b 10.4431
_cell_length_c 10.4431
_cell_angle_alpha 90.00
_cell_angle_beta 90.00
_cell_angle_gamma 90.00
_symmetry_space_group_name_H-M 'F m -3 m'
_symmetry_Int_Tables_number 225
_symmetry_space_group_name_Hall '-F 4 2 3'
loop_
_atom_site_label
_atom_site_fract_x
_atom_site_fract_y
_atom_site_fract_z
K1 0.2500 0.2500 0.2500
Li1 0.0000 0.0000 0.0000
La1 0.0000 0.0000 0.5000
Cl1 0.0000 0.0000 0.2392
```

Summary:
Size of the total moment, μB per atom: 0.00
Uncorrected energy, eV per cell: -168.53
Uncorrected formation energy, eV per formula unit: -20.5
N(E_F), states/eV/cell: 0.00

[12]
This record from Alexandria via LeMat-Bulk describes crystalline AsRhPb2 at its relaxed geometry. The functional is PBEsol.

```
data_AsRhPb2
_cell_length_a 4.3919
_cell_length_b 5.2710
_cell_length_c 8.1433
_cell_angle_alpha 90.00
_cell_angle_beta 90.00
_cell_angle_gamma 90.00
_symmetry_space_group_name_H-M 'A m m 2'
_symmetry_Int_Tables_number 38
_symmetry_space_group_name_Hall 'A 2 -2'
loop_
_atom_site_label
_atom_site_fract_x
_atom_site_fract_y
_atom_site_fract_z
As1 0.0000 0.0000 0.0000
Rh1 0.5000 0.0000 0.1247
Pb1 0.0000 0.0000 0.3559
Pb2 0.5000 0.0000 0.7410
```

Summary:
Size of the total moment, μB per atom: 0.00
Energy of formation from the pure elements, eV per atom: -0.051
Uncorrected energy, eV per cell: -42.89
N(E_F), states/eV/cell: 4.24

- Among the records above, which one has the lowest uncorrected energy?
  LiVB2O5